Entry 1:
Compound: Pr2CdPd
Source: the Alexandria database
Functional: PBE
Structure: relaxed

- Energy of formation from the pure elements: -507 meV/atom
- Magnetic moment: 0.000 μB/atom
- E above lowest polymorph: 0 meV per atom
- Symmetry: P4/mmm (123)

a b c (Å): 3.735 3.735 7.672
angles (deg): 90.00 90.00 90.00
Atoms (fractional coordinates):
Pd  0.500  0.500  0.000
Cd  0.500  0.500  0.500
Pr  0.000  0.000  0.227
Pr  0.000  0.000  0.773



Entry 2:
Compound: PrCd2Pd5
Source: the Alexandria database
Functional: PBE
Structure: relaxed

- Energy of formation from the pure elements: -450 meV/atom
- Magnetic moment: 0.000 μB/atom
- E above lowest polymorph: 93 meV per atom
- Symmetry: Immm (71)

a b c (Å): 4.209 7.378 7.378
angles (deg): 47.45 73.43 73.43
Atoms (fractional coordinates):
Pr  0.000  0.000  0.000
Pd  0.390  0.844  0.376
Pd  0.610  0.624  0.156
Pd  0.000  0.500  0.500
Pd  0.390  0.376  0.844
Pd  0.610  0.156  0.624
Cd  0.783  0.717  0.717
Cd  0.217  0.283  0.283



Entry 3:
Compound: PrCd2Pd
Source: the Alexandria database
Functional: PBE
Structure: relaxed

- Energy of formation from the pure elements: -342 meV/atom
- Magnetic moment: 0.000 μB/atom
- Symmetry: Fm-3m (225)

a b c (Å): 5.050 5.050 5.050
angles (deg): 60.00 60.00 60.00
Atoms (fractional coordinates):
Cd  0.250  0.250  0.250
Cd  0.750  0.750  0.750
Pd  0.500  0.500  0.500
Pr  0.000  0.000  0.000



Number 1: D(E_F) 3.9 states/eV/cell, mass density 7.769 Mg/m³, electronic total energy -17.70 eV/f.u.. Number 2: D(E_F) 3.1 states/eV/cell, mass density 9.296 Mg/m³, electronic total energy -36.17 eV/f.u.. Number 3: D(E_F) 4.4 states/eV/cell, mass density 8.607 Mg/m³, electronic total energy -13.17 eV/f.u..